A plane-wave DFT calculation with PBE was carried out for crystalline HoSi3Ir at its relaxed geometry.

abc: 4.186 4.186 9.787
angles: 90.00 90.00 90.00
Element x y z (fractional)
1 Ho 0.000 0.000 0.000
2 Ho 0.500 0.500 0.500
3 Si 0.000 0.000 0.415
4 Si 0.000 0.500 0.267
5 Si 0.000 0.500 0.767
6 Si 0.500 0.000 0.267
7 Si 0.500 0.000 0.767
8 Si 0.500 0.500 0.915
9 Ir 0.000 0.000 0.653
10 Ir 0.500 0.500 0.153

Summary:
V ... 17.15 Å³/atom
VASP energy ... -67.12 eV/cell
Spin magnetization ... 0.00 Bohr magnetons per cell
Space-group type ... I4mm



A plane-wave DFT calculation with PBE was carried out for crystalline AlZnNi6 at its relaxed geometry.

abc: 5.070 5.070 4.081
angles: 90.00 90.00 120.00
Element x y z (fractional)
1 Al 0.000 0.000 0.000
2 Zn 0.667 0.333 0.500
3 Ni 0.004 0.502 0.000
4 Ni 0.169 0.338 0.500
5 Ni 0.169 0.831 0.500
6 Ni 0.498 0.502 0.000
7 Ni 0.498 0.996 0.000
8 Ni 0.662 0.831 0.500

Summary:
V ... 11.36 Å³/atom
VASP energy ... -40.57 eV/cell
Spin magnetization ... 1.64 Bohr magnetons per cell
Space-group type ... P-6m2



A plane-wave DFT calculation with PBE was carried out for crystalline Gd3Cd3Ga2Ag at its relaxed geometry.

abc: 7.388 7.388 4.377
angles: 90.00 90.00 120.00
Element x y z (fractional)
1 Gd 0.000 0.581 0.000
2 Gd 0.419 0.419 0.000
3 Gd 0.581 0.000 0.000
4 Cd 0.000 0.252 0.500
5 Cd 0.252 0.000 0.500
6 Cd 0.748 0.748 0.500
7 Ga 0.333 0.667 0.500
8 Ga 0.667 0.333 0.500
9 Ag 0.000 0.000 0.000

Summary:
V ... 22.99 Å³/atom
VASP energy ... -29.99 eV/cell
Spin magnetization ... 0.00 Bohr magnetons per cell
Space-group type ... P-62m



A plane-wave DFT calculation with PBE was carried out for crystalline Tb3Si4Ge4 at its relaxed geometry.

abc: 8.621 8.621 8.621
angles: 151.45 133.27 55.68
Element x y z (fractional)
1 Tb 0.000 0.000 0.000
2 Tb 0.368 0.868 0.500
3 Tb 0.632 0.132 0.500
4 Si 0.025 0.348 0.677
5 Si 0.329 0.652 0.677
6 Si 0.671 0.348 0.323
7 Si 0.975 0.652 0.323
8 Ge 0.214 0.214 0.000
9 Ge 0.316 0.500 0.816
10 Ge 0.684 0.500 0.184
11 Ge 0.786 0.786 0.000

Summary:
V ... 20.15 Å³/atom
VASP energy ... -57.38 eV/cell
Spin magnetization ... 0.03 Bohr magnetons per cell
Space-group type ... Immm



A plane-wave DFT calculation with PBE was carried out for crystalline GdEr at its relaxed geometry.

abc: 6.423 6.423 6.423
angles: 90.00 90.00 90.00
Element x y z (fractional)
1 Gd 0.000 0.000 0.000
2 Gd 0.000 0.500 0.500
3 Gd 0.500 0.000 0.500
4 Gd 0.500 0.500 0.000
5 Er 0.000 0.000 0.500
6 Er 0.000 0.500 0.000
7 Er 0.500 0.000 0.000
8 Er 0.500 0.500 0.500

Summary:
V ... 33.13 Å³/atom
Calculated formation energy ... 777 meV per atom
VASP energy ... -30.66 eV/cell
Spin magnetization ... 3.78 Bohr magnetons per cell
Space-group type ... Fm-3m



A plane-wave DFT calculation with PBE was carried out for crystalline Zr2Sc4Tl3N3 at its relaxed geometry.

abc: 5.735 5.735 15.195
angles: 100.91 100.91 60.04
Element x y z (fractional)
1 Zr 0.027 0.859 0.580
2 Zr 0.141 0.973 0.920
3 Zr 0.859 0.027 0.080
4 Zr 0.973 0.141 0.420
5 Sc 0.193 0.362 0.080
6 Sc 0.308 0.472 0.420
7 Sc 0.362 0.193 0.580
8 Sc 0.472 0.308 0.920
9 Sc 0.528 0.692 0.080
10 Sc 0.638 0.807 0.420
11 Sc 0.692 0.528 0.580
12 Sc 0.807 0.638 0.920
13 Tl 0.084 0.248 0.750
14 Tl 0.248 0.084 0.250
15 Tl 0.416 0.584 0.750
16 Tl 0.584 0.416 0.250
17 Tl 0.752 0.916 0.750
18 Tl 0.916 0.752 0.250
19 N 0.000 0.500 0.500
20 N 0.169 0.663 0.000
21 N 0.337 0.831 0.500
22 N 0.500 0.000 0.000
23 N 0.663 0.169 0.500
24 N 0.831 0.337 0.000

Summary:
V ... 17.60 Å³/atom
VASP energy ... -175.14 eV/cell
Spin magnetization ... 0.00 Bohr magnetons per cell
Space-group type ... C2/c



A plane-wave DFT calculation with PBE was carried out for crystalline BaLiCoMo at its relaxed geometry.

abc: 6.632 6.632 6.632
angles: 90.00 90.00 90.00
Element x y z (fractional)
1 Ba 0.000 0.000 0.000
2 Ba 0.000 0.500 0.500
3 Ba 0.500 0.000 0.500
4 Ba 0.500 0.500 0.000
5 Li 0.250 0.250 0.250
6 Li 0.250 0.750 0.750
7 Li 0.750 0.250 0.750
8 Li 0.750 0.750 0.250
9 Co 0.000 0.000 0.500
10 Co 0.000 0.500 0.000
11 Co 0.500 0.000 0.000
12 Co 0.500 0.500 0.500
13 Mo 0.250 0.250 0.750
14 Mo 0.250 0.750 0.250
15 Mo 0.750 0.250 0.250
16 Mo 0.750 0.750 0.750

Summary:
V ... 18.23 Å³/atom
VASP energy ... -70.73 eV/cell
Spin magnetization ... 0.11 Bohr magnetons per cell
Space-group type ... F-43m



A plane-wave DFT calculation with PBE was carried out for crystalline BeZnFeRe at its relaxed geometry.

abc: 5.717 5.717 5.717
angles: 90.00 90.00 90.00
Element x y z (fractional)
1 Be 0.000 0.000 0.000
2 Be 0.000 0.500 0.500
3 Be 0.500 0.000 0.500
4 Be 0.500 0.500 0.000
5 Zn 0.250 0.250 0.250
6 Zn 0.250 0.750 0.750
7 Zn 0.750 0.250 0.750
8 Zn 0.750 0.750 0.250
9 Fe 0.000 0.000 0.500
10 Fe 0.000 0.500 0.000
11 Fe 0.500 0.000 0.000
12 Fe 0.500 0.500 0.500
13 Re 0.250 0.250 0.750
14 Re 0.250 0.750 0.250
15 Re 0.750 0.250 0.250
16 Re 0.750 0.750 0.750

Summary:
V ... 11.68 Å³/atom
VASP energy ... -101.01 eV/cell
Spin magnetization ... 2.23 Bohr magnetons per cell
Space-group type ... F-43m



A plane-wave DFT calculation with PBE was carried out for crystalline SmB4W at its relaxed geometry.

abc: 3.133 3.133 7.364
angles: 90.00 90.00 120.00
Element x y z (fractional)
1 Sm 0.000 0.000 0.000
2 B 0.333 0.667 0.281
3 B 0.333 0.667 0.719
4 B 0.667 0.333 0.281
5 B 0.667 0.333 0.719
6 W 0.000 0.000 0.500

Summary:
V ... 10.43 Å³/atom
VASP energy ... -46.72 eV/cell
Spin magnetization ... 0.00 Bohr magnetons per cell
Space-group type ... P6/mmm



A plane-wave DFT calculation with PBE was carried out for crystalline CoTc2B2 at its relaxed geometry.

abc: 3.927 3.927 7.696
angles: 90.00 90.00 90.00
Element x y z (fractional)
1 Co 0.000 0.000 0.000
2 Co 0.500 0.500 0.500
3 Tc 0.000 0.000 0.345
4 Tc 0.000 0.000 0.655
5 Tc 0.500 0.500 0.155
6 Tc 0.500 0.500 0.845
7 B 0.000 0.500 0.250
8 B 0.000 0.500 0.750
9 B 0.500 0.000 0.250
10 B 0.500 0.000 0.750

Summary:
V ... 11.87 Å³/atom
VASP energy ... -78.34 eV/cell
Spin magnetization ... 2.34 Bohr magnetons per cell
Space-group type ... I4/mmm



A plane-wave DFT calculation with PBE was carried out for crystalline Li4AlZnAu2 at its relaxed geometry.

abc: 4.389 4.389 6.165
angles: 90.00 90.00 90.00
Element x y z (fractional)
1 Li 0.000 0.000 0.000
2 Li 0.000 0.500 0.739
3 Li 0.500 0.000 0.261
4 Li 0.500 0.500 0.500
5 Al 0.500 0.500 0.000
6 Zn 0.000 0.000 0.500
7 Au 0.000 0.500 0.239
8 Au 0.500 0.000 0.761

Summary:
V ... 14.84 Å³/atom
VASP energy ... -22.99 eV/cell
Space-group type ... P-4m2



A plane-wave DFT calculation with PBE was carried out for crystalline BaNd8P4 at its relaxed geometry.

abc: 9.097 9.097 9.097
angles: 95.84 95.84 142.81
Element x y z (fractional)
1 Ba 0.000 0.000 0.000
2 Nd 0.001 0.339 0.341
3 Nd 0.328 0.329 0.657
4 Nd 0.329 0.672 0.001
5 Nd 0.339 0.999 0.338
6 Nd 0.661 0.001 0.662
7 Nd 0.671 0.328 0.999
8 Nd 0.672 0.671 0.343
9 Nd 0.999 0.661 0.659
10 P 0.172 0.501 0.673
11 P 0.499 0.172 0.671
12 P 0.501 0.828 0.329
13 P 0.828 0.499 0.327

Summary:
V ... 33.17 Å³/atom
VASP energy ... -72.61 eV/cell
Spin magnetization ... 0.20 Bohr magnetons per cell
Space-group type ... I4/m



Q: The lowest V belongs to which entry?
A: SmB4W